[1]
SCAN LiMg2Zr, PBEsol geometry; calculated formation energy = -0.0035 eV per atom; DOS at the Fermi energy = 2.31 states/eV per cell
1.0
-0.757 -0.787 -2.884
1.623 -2.607 0.285
-7.085 -4.086 2.975
Li Mg Zr
1 2 1
Direct
0.500 0.500 0.500
0.000 0.000 0.261
0.000 0.000 0.739
0.500 0.500 0.000

---

[2]
SCAN LiCo2Mo, PBEsol geometry; ΔE to the lowest computed polymorph = 0.05 eV/f.u.; calculated formation energy = 0.2910 eV per atom; DOS at the Fermi energy = 2.39 states/eV per cell
1.0
-2.303 -1.085 -1.085
2.270 -2.468 -2.352
-0.045 -2.848 2.944
Co Li Mo
2 1 1
Direct
0.000 0.000 0.500
0.000 0.500 0.000
0.500 0.500 0.500
0.500 0.000 0.000

---

[3]
SCAN Hg8Te, PBEsol geometry; formation energy from raw total energies = 0.07 eV per atom; DOS at the Fermi energy = 2.74 states/eV per cell
1.0
4.074 0.000 0.000
2.037 7.316 0.000
2.037 0.000 7.316
Hg Te
8 1
Direct
0.329 0.342 0.000
0.329 0.000 0.342
0.663 0.337 0.337
0.000 0.337 0.663
0.671 0.658 0.000
0.337 0.663 0.663
0.671 0.000 0.658
0.000 0.663 0.337
0.000 0.000 0.000

---

[4]
SCAN LiInPb, PBEsol geometry; calculated formation energy = -0.2077 eV per atom; DOS at the Fermi energy = 0.99 states/eV per cell
1.0
-1.785 2.147 -1.953
-3.411 -2.624 0.233
1.057 2.596 4.860
In Li Pb
1 1 1
Direct
0.005 0.005 0.009
0.664 0.664 0.328
0.331 0.331 0.663

---

[5]
SCAN TmHfCo2, PBEsol geometry; calculated formation energy = -0.3640 eV per atom; DOS at the Fermi energy = 1.62 states/eV per cell
1.0
-2.050 -3.617 1.649
2.201 -2.762 2.744
-1.082 -0.175 4.336
Co Tm Hf
2 1 1
Direct
0.250 0.250 0.250
0.750 0.750 0.750
0.000 0.000 0.000
0.500 0.500 0.500

---

[6]
Material: FeH2SO5
Method: DFT, SCAN
State: PBEsol geometry

```
FeH2SO5
1.0
-4.252 -1.576 -2.503
0.801 -4.217 2.899
-2.154 5.473 4.691
O Fe H S
10 2 4 2
Direct
0.325 0.273 0.160
0.273 0.325 0.660
0.677 0.292 0.905
0.886 0.114 0.250
0.323 0.708 0.095
0.292 0.677 0.405
0.675 0.727 0.840
0.727 0.675 0.340
0.114 0.886 0.750
0.708 0.323 0.595
0.500 0.000 0.000
0.000 0.500 0.500
0.053 0.134 0.207
0.134 0.053 0.707
0.866 0.947 0.293
0.947 0.866 0.793
0.414 0.586 0.250
0.586 0.414 0.750
```

---

[7]
SCAN ZnI2N2, PBEsol geometry; formation energy from raw total energies = 1.45 eV per atom; DOS at the Fermi energy = 1.51 states/eV per cell
1.0
4.291 0.000 0.000
0.000 4.291 0.000
0.000 0.000 5.968
N Zn I
2 1 2
Direct
0.500 0.000 0.000
0.000 0.500 0.000
0.000 0.000 0.000
0.000 0.000 0.500
0.500 0.500 0.500

---

[8]
SCAN Nb2Ge2Mo, PBEsol geometry; calculated formation energy = -0.3863 eV per atom; DOS at the Fermi energy = 4.91 states/eV per cell
1.0
-0.125 1.199 3.361
4.833 -4.300 1.713
4.622 4.609 -1.472
Mo Ge Nb
2 4 4
Direct
0.000 0.000 0.000
0.000 0.500 0.500
0.000 0.364 0.864
0.000 0.136 0.364
0.000 0.864 0.636
0.000 0.636 0.136
0.500 0.666 0.834
0.500 0.334 0.166
0.500 0.166 0.666
0.500 0.834 0.334

---

[9]
SCAN Cu3P8S6Cl3, PBEsol geometry; formation energy from raw total energies = -0.35 eV per atom; DOS at the Fermi energy = 0.00 states/eV per cell
1.0
6.049 0.000 0.000
0.000 11.234 0.000
0.000 0.000 26.167
P Cl S Cu
32 12 24 12
Direct
0.174 0.638 0.106
0.674 0.862 0.394
0.142 0.428 0.931
0.174 0.638 0.394
0.414 0.052 0.320
0.846 0.546 0.570
0.914 0.448 0.180
0.654 0.046 0.070
0.826 0.362 0.894
0.858 0.572 0.069
0.154 0.454 0.430
0.674 0.862 0.106
0.326 0.138 0.894
0.086 0.552 0.820
0.346 0.954 0.570
0.154 0.454 0.070
0.642 0.072 0.931
0.586 0.948 0.680
0.586 0.948 0.820
0.846 0.546 0.930
0.326 0.138 0.606
0.358 0.928 0.431
0.142 0.428 0.569
0.358 0.928 0.069
0.826 0.362 0.606
0.346 0.954 0.930
0.858 0.572 0.431
0.414 0.052 0.180
0.914 0.448 0.320
0.086 0.552 0.680
0.654 0.046 0.430
0.642 0.072 0.569
0.339 0.664 0.992
0.661 0.336 0.008
0.932 0.165 0.250
0.839 0.836 0.992
0.432 0.335 0.250
0.839 0.836 0.508
0.161 0.164 0.008
0.068 0.835 0.750
0.568 0.665 0.750
0.161 0.164 0.492
0.339 0.664 0.508
0.661 0.336 0.492
0.883 0.399 0.683
0.617 0.899 0.183
0.617 0.899 0.317
0.097 0.338 0.130
0.117 0.601 0.317
0.166 0.990 0.130
0.117 0.601 0.183
0.834 0.010 0.630
0.883 0.399 0.817
0.383 0.101 0.683
0.597 0.162 0.370
0.834 0.010 0.870
0.334 0.490 0.630
0.403 0.838 0.870
0.403 0.838 0.630
0.334 0.490 0.870
0.666 0.510 0.370
0.903 0.662 0.630
0.666 0.510 0.130
0.597 0.162 0.130
0.166 0.990 0.370
0.383 0.101 0.817
0.903 0.662 0.870
0.097 0.338 0.370
0.695 0.857 0.750
0.805 0.357 0.250
0.289 0.356 0.002
0.305 0.143 0.250
0.789 0.144 0.002
0.711 0.644 0.998
0.289 0.356 0.498
0.789 0.144 0.498
0.195 0.643 0.750
0.711 0.644 0.502
0.211 0.856 0.502
0.211 0.856 0.998

---

[10]
SCAN LiMg2Ir, PBEsol geometry; calculated formation energy = -0.0460 eV per atom; DOS at the Fermi energy = 1.29 states/eV per cell
1.0
2.811 0.001 0.000
-1.168 2.557 0.000
0.000 0.000 9.347
Mg Li Ir
2 1 1
Direct
0.500 0.500 0.719
0.000 0.000 0.005
0.500 0.500 0.282
0.000 0.000 0.495

---

[11]
SCAN CsCoP2S, PBEsol geometry; formation energy from raw total energies = 2.41 eV per atom; DOS at the Fermi energy = 4.44 states/eV per cell
1.0
-1.694 -0.266 4.948
-4.698 -1.628 -1.696
1.625 -4.988 0.288
Co P Cs S
1 2 1 1
Direct
0.500 0.500 0.500
0.000 0.500 0.000
0.000 0.000 0.500
0.000 0.000 0.000
0.500 0.000 0.000

---

[12]
SCAN SiAu8, PBEsol geometry; formation energy from raw total energies = 0.08 eV per atom; DOS at the Fermi energy = 2.83 states/eV per cell
1.0
-0.722 2.694 -2.910
1.070 -2.827 -5.674
-6.195 -0.442 -1.664
Au Si
8 1
Direct
0.663 0.000 0.674
0.000 0.670 0.330
0.663 0.674 0.000
0.670 0.330 0.330
0.330 0.670 0.670
0.000 0.330 0.670
0.337 0.326 0.000
0.337 0.000 0.326
0.000 0.000 0.000

---

Which uncorrected energy belongs to each record? In order, -10.7625 -17.6799 -64.6621 -37.3935 -37.6424 -8.7327 -19.6652 -28.2503 -10.8764 -20.9051 -14.6969 -62.5056 eV/atom.